(1)
Entry from the Alexandria database: a geometry-optimized Al2NiAg structure (PBE).

Properties
The total magnetization comes out at 0.0 μB/f.u. Its space group is R-3m. Its offset from the most stable computed form is 153 meV per atom.

a b c (Å): 8.5062 8.5062 8.5062
angles (deg): 19.35 19.35 19.35
Fractional coordinates of all 4 atoms:
Ni: 0.2500 0.2500 0.2500
Al: 0.9904 0.9904 0.9904
Al: 0.5096 0.5096 0.5096
Ag: 0.7500 0.7500 0.7500


(2)
Entry from the Alexandria database: a geometry-optimized AlNiAg structure (PBE).

Properties
The total magnetization comes out at 0.0 μB/f.u. Its space group is F-43m. Its offset from the most stable computed form is 502 meV per atom.

a b c (Å): 4.1831 4.1831 4.1831
angles (deg): 60.00 60.00 60.00
Fractional coordinates of all 3 atoms:
Ni: 0.5000 0.5000 0.5000
Al: 0.0000 0.0000 0.0000
Ag: 0.7500 0.7500 0.7500


(3)
Entry from the Alexandria database: a geometry-optimized AlNiAg2 structure (PBE).

Properties
The calculation puts the total energy at -3.846 eV per atom. The total magnetization comes out at 0.0 μB/f.u. Its space group is I-4m2.

a b c (Å): 4.7435 4.7435 4.7435
angles (deg): 130.23 130.23 73.04
Fractional coordinates of all 4 atoms:
Ni: 0.7500 0.2500 0.5000
Al: 0.5000 0.5000 0.0000
Ag: 0.0000 0.0000 0.0000
Ag: 0.2500 0.7500 0.5000


(4)
Entry from the Alexandria database: a geometry-optimized Al2NiAg structure (PBE).

Properties
The total magnetization comes out at 0.0 μB/f.u. Its space group is P4/mmm. Its offset from the most stable computed form is 0 meV per atom.

a b c (Å): 2.9128 2.9128 6.7716
angles (deg): 90.00 90.00 90.00
Fractional coordinates of all 4 atoms:
Ni: 0.5000 0.5000 0.2500
Al: 0.0000 0.0000 0.0409
Al: 0.0000 0.0000 0.4591
Ag: 0.5000 0.5000 0.7500


(5)
Entry from the Alexandria database: a geometry-optimized AlNiAg2 structure (PBE).

Properties
The calculation puts the total energy at -3.860 eV per atom. The total magnetization comes out at 0.0 μB/f.u. Its space group is Imm2.

a b c (Å): 5.1457 5.1457 5.1457
angles (deg): 144.49 128.79 63.86
Fractional coordinates of all 4 atoms:
Ni: 0.2726 0.7726 0.5000
Al: 0.4800 0.4800 0.0000
Ag: 0.0123 0.0123 0.0000
Ag: 0.7352 0.2352 0.5000


(6)
Entry from the Alexandria database: a geometry-optimized Al2Ni2Ag structure (PBE).

Properties
The total magnetization comes out at 0.0 μB/f.u. Its space group is I4/mmm. Its offset from the most stable computed form is 261 meV per atom.

a b c (Å): 3.7394 3.7394 5.9301
angles (deg): 71.62 71.62 90.00
Fractional coordinates of all 5 atoms:
Ni: 0.3917 0.3917 0.2167
Ni: 0.6083 0.6083 0.7833
Al: 0.7500 0.2500 0.5000
Al: 0.2500 0.7500 0.5000
Ag: 0.0000 0.0000 0.0000


(7)
Entry from the Alexandria database: a geometry-optimized Al2NiAg structure (PBE).

Properties
The total magnetization comes out at 0.0 μB/f.u. Its space group is R3m. Its offset from the most stable computed form is 167 meV per atom.

a b c (Å): 4.0575 4.0575 5.0552
angles (deg): 66.34 66.34 60.00
Fractional coordinates of all 4 atoms:
Al: 0.0533 0.0533 0.8400
Al: 0.2747 0.2747 0.1760
Ni: 0.6839 0.6839 0.9482
Ag: 0.4881 0.4881 0.5358


(8)
Entry from the Alexandria database: a geometry-optimized AlNiAg2 structure (PBE).

Properties
The calculation puts the total energy at -3.554 eV per atom. The total magnetization comes out at 0.0 μB/f.u. Its space group is I-42d.

a b c (Å): 7.1083 7.1083 5.6783
angles (deg): 51.25 51.25 90.00
Fractional coordinates of all 8 atoms:
Ni: 0.0000 0.0000 0.0000
Ni: 0.7500 0.2500 0.5000
Al: 0.5000 0.5000 0.0000
Al: 0.2500 0.7500 0.5000
Ag: 0.6287 0.1250 0.2500
Ag: 0.1213 0.6250 0.2500
Ag: 0.3750 0.3713 0.7500
Ag: 0.8750 0.8787 0.7500


(9)
Entry from the Alexandria database: a geometry-optimized Al2NiAg structure (PBE).

Properties
The total magnetization comes out at 0.0 μB/f.u. Its space group is Fm-3m. Its offset from the most stable computed form is 96 meV per atom.

a b c (Å): 4.3201 4.3201 4.3201
angles (deg): 60.00 60.00 60.00
Fractional coordinates of all 4 atoms:
Ni: 0.0000 0.0000 0.0000
Al: 0.2500 0.2500 0.2500
Al: 0.7500 0.7500 0.7500
Ag: 0.5000 0.5000 0.5000


(10)
Entry from the Alexandria database: a geometry-optimized AlNiAg2 structure (PBE).

Properties
The calculation puts the total energy at -3.772 eV per atom. The total magnetization comes out at 0.0 μB/f.u. Its space group is P2/m.

a b c (Å): 4.6170 2.8154 4.7893
angles (deg): 86.13 90.00 90.00
Fractional coordinates of all 4 atoms:
Ni: 0.5000 0.7500 0.7500
Al: 0.5000 0.2500 0.2500
Ag: 0.0000 0.0033 0.9983
Ag: 0.0000 0.4967 0.5017


(11)
Entry from the Alexandria database: a geometry-optimized Al2Ni2Ag structure (PBE).

Properties
The total magnetization comes out at 0.0 μB/f.u. Its space group is P4/mbm. Its offset from the most stable computed form is 0 meV per atom.

a b c (Å): 7.0222 7.0222 2.7508
angles (deg): 90.00 90.00 90.00
Fractional coordinates of all 10 atoms:
Ni: 0.3670 0.8670 0.0000
Ni: 0.8670 0.6330 0.0000
Ni: 0.6330 0.1330 0.0000
Ni: 0.1330 0.3670 0.0000
Al: 0.1608 0.6608 0.5000
Al: 0.6608 0.8392 0.5000
Al: 0.8392 0.3392 0.5000
Al: 0.3392 0.1608 0.5000
Ag: 0.0000 0.0000 0.0000
Ag: 0.5000 0.5000 0.0000


(12)
Entry from the Alexandria database: a geometry-optimized AlNiAg2 structure (PBE).

Properties
The calculation puts the total energy at -3.755 eV per atom. The total magnetization comes out at 0.0 μB/f.u. Its space group is Pmmm.

a b c (Å): 2.8666 3.8699 5.5314
angles (deg): 90.00 90.00 90.00
Fractional coordinates of all 4 atoms:
Ni: 0.5000 0.5000 0.7500
Al: 0.5000 0.5000 0.2500
Ag: 0.0000 0.0000 0.9963
Ag: 0.0000 0.0000 0.5037


(13)
Entry from the Alexandria database: a geometry-optimized AlNi3Ag structure (PBE).

Properties
The total magnetization comes out at 0.0 μB/f.u. Its space group is Pm-3m. Its offset from the most stable computed form is 0 meV per atom.

a b c (Å): 4.2892 4.2892 4.2892
angles (deg): 90.00 90.00 90.00
Fractional coordinates of all 5 atoms:
Ni: 0.0000 0.5000 0.0000
Ni: 0.0000 0.0000 0.5000
Ni: 0.5000 0.0000 0.0000
Al: 0.0000 0.0000 0.0000
Ag: 0.5000 0.5000 0.5000


(14)
Entry from the Alexandria database: a geometry-optimized AlNiAg2 structure (PBE).

Properties
The calculation puts the total energy at -3.959 eV per atom. The total magnetization comes out at 0.0 μB/f.u. Its space group is P4mm.

a b c (Å): 2.9112 2.9112 7.1989
angles (deg): 90.00 90.00 89.99
Fractional coordinates of all 4 atoms:
Ni: 0.5000 0.5000 0.7172
Al: 0.0000 0.0000 0.5391
Ag: 0.0000 0.0000 0.9733
Ag: 0.5000 0.5000 0.2704


(15)
Entry from the Alexandria database: a geometry-optimized AlNiAg structure (PBE).

Properties
The total magnetization comes out at 0.0 μB/f.u. Its space group is F-43m. Its offset from the most stable computed form is 262 meV per atom.

a b c (Å): 4.1342 4.1342 4.1342
angles (deg): 60.00 60.00 60.00
Fractional coordinates of all 3 atoms:
Ni: 0.7500 0.7500 0.7500
Al: 0.5000 0.5000 0.5000
Ag: 0.0000 0.0000 0.0000


(16)
Entry from the Alexandria database: a geometry-optimized AlNiAg2 structure (PBE).

Properties
The calculation puts the total energy at -3.849 eV per atom. The total magnetization comes out at 0.0 μB/f.u. Its space group is P4/mmm.

a b c (Å): 3.8858 3.8836 4.0256
angles (deg): 90.00 90.00 90.00
Fractional coordinates of all 4 atoms:
Ni: 0.0000 0.5000 0.5000
Al: 0.5000 0.0000 0.5000
Ag: 0.0000 0.0000 0.0000
Ag: 0.5000 0.5000 0.0000


(17)
Entry from the Alexandria database: a geometry-optimized Al2NiAg structure (PBE).

Properties
The total magnetization comes out at 0.0 μB/f.u. Its space group is P4/mmm. Its offset from the most stable computed form is 112 meV per atom.

a b c (Å): 4.2390 4.2390 3.1820
angles (deg): 90.00 90.00 90.01
Fractional coordinates of all 4 atoms:
Ni: 0.5000 0.0000 0.5000
Al: 0.0000 0.0000 0.0000
Al: 0.5000 0.5000 0.0000
Ag: 0.0000 0.5000 0.5000


(18)
Entry from the Alexandria database: a geometry-optimized AlNiAg2 structure (PBE).

Properties
The calculation puts the total energy at -3.831 eV per atom. The total magnetization comes out at 0.0 μB/f.u. Its space group is F-43m.

a b c (Å): 4.4213 4.4213 4.4213
angles (deg): 60.00 60.00 60.00
Fractional coordinates of all 4 atoms:
Ni: 0.7500 0.7500 0.7500
Al: 0.5000 0.5000 0.5000
Ag: 0.0000 0.0000 0.0000
Ag: 0.2500 0.2500 0.2500


(19)
Entry from the Alexandria database: a geometry-optimized AlNiAg2 structure (PBE).

Properties
The calculation puts the total energy at -3.832 eV per atom. The total magnetization comes out at 0.0 μB/f.u. Its space group is R3m.

a b c (Å): 8.8541 8.8541 8.8541
angles (deg): 18.69 18.69 18.69
Fractional coordinates of all 4 atoms:
Ni: 0.7573 0.7573 0.7573
Al: 0.4913 0.4913 0.4913
Ag: 0.0065 0.0065 0.0065
Ag: 0.2449 0.2449 0.2449


(20)
Entry from the Alexandria database: a geometry-optimized Al2NiAg structure (PBE).

Properties
The total magnetization comes out at 0.0 μB/f.u. Its space group is Cm. Its offset from the most stable computed form is 111 meV per atom.

a b c (Å): 4.8347 4.8347 4.3264
angles (deg): 72.08 72.08 37.30
Fractional coordinates of all 4 atoms:
Ni: 0.4917 0.4917 0.5655
Al: 0.9989 0.9989 0.0261
Al: 0.7667 0.7667 0.6923
Ag: 0.2427 0.2427 0.2162